Here is an optimized crystal structure of Nd5Al2 from Alexandria via LeMat-Bulk. Energies are from GGA-PBE.

a b c (Å): 16.140 5.749 9.086
angles (deg): 90.00 98.53 90.00
Space group C2/c (No. 15)
Symmetry-distinct sites (fractional):
Nd  0.000  0.235  0.250 (multiplicity 4)
Nd  0.117  0.216  0.949 (multiplicity 8)
Nd  0.226  0.352  0.323 (multiplicity 8)
Al  0.084  0.293  0.599 (multiplicity 8)

Output
E = -0.342 Ry per atom
DFT formation energy = -1.2 eV/f.u.
Density of states at the Fermi level = 26.1 states/eV per cell
Spin magnetization = 0.00 μB per formula unit

***

Here is an optimized crystal structure of Tb3Sm2DyBi6 from Alexandria via LeMat-Bulk. Energies are from GGA-PBE.

a b c (Å): 19.659 4.512 9.024
angles (deg): 90.00 103.21 90.00
Space group C2/m (No. 12)
Symmetry-distinct sites (fractional):
Tb  0.000  0.000  0.000 (multiplicity 2)
Tb  0.168  0.500  0.333 (multiplicity 4)
Sm  0.166  0.500  0.833 (multiplicity 4)
Dy  0.000  0.000  0.500 (multiplicity 2)
Bi  0.001  0.500  0.252 (multiplicity 4)
Bi  0.166  0.000  0.086 (multiplicity 4)
Bi  0.166  0.000  0.580 (multiplicity 4)

Output
E = -0.379 Ry per atom
DFT formation energy = -10.7 eV/f.u.
Density of states at the Fermi level = 4.0 states/eV per cell
Spin magnetization = 0.00 μB per formula unit